Record 1
A plane-wave DFT calculation with PBE was carried out for an optimized crystal structure of KSrFe2Br8.

Unit cell a=6.983 b=6.983 c=10.417 alpha=90.00 beta=90.00 gamma=120.00
Element x y z (fractional)
K  0.000  0.000  0.000
Sr  0.000  0.000  0.500
Fe  0.333  0.667  0.761
Fe  0.667  0.333  0.239
Br  0.003  0.339  0.689
Br  0.333  0.667  0.986
Br  0.336  0.997  0.689
Br  0.339  0.336  0.311
Br  0.661  0.664  0.689
Br  0.664  0.003  0.311
Br  0.667  0.333  0.014
Br  0.997  0.661  0.311

## Properties
Uncorrected formation energy in eV/atom: -1.077
Symmetry: P-3, No. 147
Calculated total energy in eV per atom: -3.834

***

Record 2
A plane-wave DFT calculation with PBE was carried out for an optimized crystal structure of CoRe2Br.

Unit cell a=4.413 b=4.413 c=4.413 alpha=60.00 beta=60.00 gamma=60.00
Element x y z (fractional)
Co  0.000  0.000  0.000
Re  0.500  0.500  0.500
Re  0.750  0.750  0.750
Br  0.250  0.250  0.250

## Properties
Uncorrected formation energy in eV/atom: 1.186
Relative energy among the computed polymorphs in eV/atom: 0.646
Symmetry: F-43m, No. 216
Calculated total energy in eV per atom: -7.233

***

Record 3
A plane-wave DFT calculation with PBE was carried out for an optimized crystal structure of CeZn11Cu.

Unit cell a=6.821 b=6.821 c=6.813 alpha=98.22 beta=98.22 gamma=135.32
Element x y z (fractional)
Ce  0.000  0.000  0.000
Zn  0.000  0.000  0.500
Zn  0.000  0.500  0.000
Zn  0.013  0.364  0.357
Zn  0.284  0.502  0.778
Zn  0.364  0.013  0.357
Zn  0.498  0.716  0.222
Zn  0.500  0.000  0.000
Zn  0.502  0.284  0.778
Zn  0.636  0.987  0.643
Zn  0.716  0.498  0.222
Zn  0.987  0.636  0.643
Cu  0.500  0.500  0.500

## Properties
Energy of formation from the pure elements in eV per atom: -0.17
Symmetry: C2/m, No. 12
Calculated total energy in eV per atom: -2.018

***

Record 4
A plane-wave DFT calculation with PBE was carried out for an optimized crystal structure of AlReAg2.

Unit cell a=5.276 b=5.276 c=5.276 alpha=137.89 beta=137.89 gamma=61.07
Element x y z (fractional)
Al  0.000  0.000  0.000
Re  0.500  0.500  0.000
Ag  0.250  0.750  0.500
Ag  0.750  0.250  0.500

## Properties
Energy of formation from the pure elements in eV per atom: 0.51
Symmetry: I4/mmm, No. 139
Calculated total energy in eV per atom: -4.966

***

Record 5
A plane-wave DFT calculation with PBE was carried out for an optimized crystal structure of FeMo2Ru2.

Unit cell a=7.347 b=7.347 c=2.865 alpha=90.00 beta=90.00 gamma=90.00
Element x y z (fractional)
Fe  0.000  0.000  0.000
Fe  0.500  0.500  0.000
Mo  0.166  0.334  0.500
Mo  0.334  0.834  0.500
Mo  0.666  0.166  0.500
Mo  0.834  0.666  0.500
Ru  0.133  0.633  0.000
Ru  0.367  0.133  0.000
Ru  0.633  0.867  0.000
Ru  0.867  0.367  0.000

## Properties
Energy of formation from the pure elements in eV per atom: 0.31
Relative energy among the computed polymorphs in eV/atom: 0.000
Symmetry: P4/mbm, No. 127
Calculated total energy in eV per atom: -9.425

***

Record 6
A plane-wave DFT calculation with PBE was carried out for an optimized crystal structure of ZrZn2.

Unit cell a=6.018 b=6.018 c=6.018 alpha=150.79 beta=150.79 gamma=41.79
Element x y z (fractional)
Zr  0.000  0.000  0.000
Zn  0.320  0.320  0.000
Zn  0.680  0.680  0.000

## Properties
Energy of formation from the pure elements in eV per atom: -0.22
Symmetry: I4/mmm, No. 139
Calculated total energy in eV per atom: -3.919

***

Record 7
A plane-wave DFT calculation with PBE was carried out for an optimized crystal structure of Y2TcPdS.

Unit cell a=5.415 b=5.415 c=4.323 alpha=90.00 beta=90.00 gamma=90.00
Element x y z (fractional)
Y  0.000  0.500  0.000
Y  0.500  0.000  0.000
Tc  0.000  0.000  0.500
Pd  0.500  0.500  0.000
S  0.500  0.500  0.500

## Properties
Uncorrected formation energy in eV/atom: 0.370
Symmetry: P4/mmm, No. 123
Calculated total energy in eV per atom: -6.153

***

Record 8
A plane-wave DFT calculation with PBE was carried out for an optimized crystal structure of TaCr3Ge.

Unit cell a=4.375 b=4.375 c=4.375 alpha=90.00 beta=90.00 gamma=90.00
Element x y z (fractional)
Ta  0.000  0.000  0.000
Cr  0.000  0.500  0.500
Cr  0.500  0.000  0.500
Cr  0.500  0.500  0.000
Ge  0.500  0.500  0.500

## Properties
Energy of formation from the pure elements in eV per atom: 1.11
Relative energy among the computed polymorphs in eV/atom: 0.000
Symmetry: Pm-3m, No. 221
Calculated total energy in eV per atom: -7.955

***

Record 9
A plane-wave DFT calculation with PBE was carried out for an optimized crystal structure of CsBO2F.

Unit cell a=4.311 b=4.311 c=5.435 alpha=90.00 beta=90.00 gamma=90.00
Element x y z (fractional)
Cs  0.000  0.000  0.000
B  0.500  0.500  0.500
O  0.000  0.500  0.000
O  0.500  0.000  0.000
F  0.000  0.000  0.500

## Properties
Uncorrected formation energy in eV/atom: 1.059
Symmetry: P4/mmm, No. 123
Calculated total energy in eV per atom: -2.805

***

Record 10
A plane-wave DFT calculation with PBE was carried out for an optimized crystal structure of MgInCuIr.

Unit cell a=4.517 b=4.517 c=4.517 alpha=60.00 beta=60.00 gamma=60.00
Element x y z (fractional)
Mg  0.000  0.000  0.000
In  0.500  0.500  0.500
Cu  0.750  0.750  0.750
Ir  0.250  0.250  0.250

## Properties
Energy of formation from the pure elements in eV per atom: -0.18
Symmetry: F-43m, No. 216
Calculated total energy in eV per atom: -4.504

***

Record 11
A plane-wave DFT calculation with PBE was carried out for an optimized crystal structure of PrPa2MnC4.

Unit cell a=6.134 b=6.134 c=12.009 alpha=90.00 beta=90.00 gamma=146.10
Element x y z (fractional)
Pr  0.105  0.895  0.750
Pr  0.895  0.105  0.250
Pa  0.367  0.633  0.548
Pa  0.367  0.633  0.952
Pa  0.633  0.367  0.048
Pa  0.633  0.367  0.452
Mn  0.164  0.836  0.250
Mn  0.836  0.164  0.750
C  0.000  0.000  0.000
C  0.000  0.000  0.500
C  0.258  0.742  0.126
C  0.258  0.742  0.374
C  0.403  0.597  0.750
C  0.597  0.403  0.250
C  0.742  0.258  0.626
C  0.742  0.258  0.874

## Properties
Energy of formation from the pure elements in eV per atom: -0.19
Symmetry: Cmcm, No. 63
Calculated total energy in eV per atom: -8.918

***

Record 12
A plane-wave DFT calculation with PBE was carried out for an optimized crystal structure of AcSm2Ti.

Unit cell a=12.374 b=12.374 c=12.374 alpha=16.38 beta=16.38 gamma=16.38
Element x y z (fractional)
Ac  0.000  0.000  0.000
Sm  0.419  0.419  0.419
Sm  0.581  0.581  0.581
Ti  0.500  0.500  0.500

## Properties
Energy of formation from the pure elements in eV per atom: 0.54
Symmetry: R-3m, No. 166
Calculated total energy in eV per atom: -4.819

***

Record 13
A plane-wave DFT calculation with PBE was carried out for an optimized crystal structure of NdHo5Te6.

Unit cell a=7.563 b=7.563 c=7.532 alpha=99.55 beta=99.55 gamma=119.91
Element x y z (fractional)
Nd  0.000  0.000  0.000
Ho  0.155  0.845  0.500
Ho  0.333  0.667  0.000
Ho  0.500  0.500  0.500
Ho  0.667  0.333  0.000
Ho  0.845  0.155  0.500
Te  0.086  0.431  0.258
Te  0.262  0.262  0.753
Te  0.431  0.086  0.258
Te  0.569  0.914  0.742
Te  0.738  0.738  0.247
Te  0.914  0.569  0.742

## Properties
Uncorrected formation energy in eV/atom: -1.277
Symmetry: C2/m, No. 12
Calculated total energy in eV per atom: -5.153

***

Record 14
A plane-wave DFT calculation with PBE was carried out for an optimized crystal structure of Tm2Ag3Pb.

Unit cell a=9.731 b=9.096 c=5.883 alpha=77.78 beta=66.00 gamma=36.22
Element x y z (fractional)
Tm  0.243  0.757  0.757
Tm  0.250  0.250  0.250
Tm  0.750  0.750  0.750
Tm  0.757  0.243  0.243
Ag  0.163  0.674  0.326
Ag  0.165  0.165  0.835
Ag  0.326  0.837  0.163
Ag  0.674  0.163  0.837
Ag  0.835  0.835  0.165
Ag  0.837  0.326  0.674
Pb  0.335  0.335  0.665
Pb  0.665  0.665  0.335

## Properties
Energy of formation from the pure elements in eV per atom: -0.26
Symmetry: Fmmm, No. 69
Calculated total energy in eV per atom: -3.794

***

Record 15
A plane-wave DFT calculation with PBE was carried out for an optimized crystal structure of LaAl2Pb.

Unit cell a=6.692 b=6.692 c=6.692 alpha=103.32 beta=103.32 gamma=122.63
Element x y z (fractional)
La  0.000  0.000  0.000
La  0.750  0.250  0.500
Al  0.159  0.625  0.034
Al  0.375  0.409  0.534
Al  0.591  0.125  0.966
Al  0.875  0.841  0.466
Pb  0.250  0.750  0.500
Pb  0.500  0.500  0.000

## Properties
Energy of formation from the pure elements in eV per atom: -0.02
Symmetry: I-42d, No. 122
Calculated total energy in eV per atom: -4.054

***

Record 16
A plane-wave DFT calculation with PBE was carried out for an optimized crystal structure of CsHfCu2Se4.

Unit cell a=7.308 b=7.308 c=7.308 alpha=129.98 beta=102.88 gamma=97.73
Element x y z (fractional)
Cs  0.000  0.000  0.000
Hf  0.500  0.500  0.000
Cu  0.375  0.875  0.500
Cu  0.625  0.125  0.500
Se  0.180  0.120  0.607
Se  0.487  0.880  0.060
Se  0.513  0.573  0.393
Se  0.820  0.427  0.940

## Properties
Uncorrected formation energy in eV/atom: -0.700
Symmetry: I222, No. 23
Calculated total energy in eV per atom: -4.817

***

Record 17
A plane-wave DFT calculation with PBE was carried out for an optimized crystal structure of Pm5CdIn2.

Unit cell a=9.898 b=9.898 c=9.898 alpha=150.26 beta=150.26 gamma=42.56
Element x y z (fractional)
Pm  0.000  0.000  0.000
Pm  0.133  0.633  0.500
Pm  0.367  0.867  0.500
Pm  0.633  0.133  0.500
Pm  0.867  0.367  0.500
Cd  0.500  0.500  0.000
In  0.251  0.251  0.000
In  0.749  0.749  0.000

## Properties
Energy of formation from the pure elements in eV per atom: -0.27
Symmetry: I4/mmm, No. 139
Calculated total energy in eV per atom: -4.037

***

Record 18
A plane-wave DFT calculation with PBE was carried out for an optimized crystal structure of Ac8CdAg2.

Unit cell a=10.388 b=10.388 c=7.731 alpha=106.51 beta=106.51 gamma=31.86
Element x y z (fractional)
Ac  0.028  0.028  0.272
Ac  0.197  0.197  0.829
Ac  0.329  0.329  0.516
Ac  0.408  0.408  0.033
Ac  0.592  0.592  0.967
Ac  0.671  0.671  0.484
Ac  0.803  0.803  0.171
Ac  0.972  0.972  0.728
Cd  0.500  0.500  0.500
Ag  0.181  0.181  0.226
Ag  0.819  0.819  0.774

## Properties
Energy of formation from the pure elements in eV per atom: -0.10
Symmetry: C2/m, No. 12
Calculated total energy in eV per atom: -3.690

***

Record 19
A plane-wave DFT calculation with PBE was carried out for an optimized crystal structure of ZnPt2Cl.

Unit cell a=5.227 b=5.227 c=5.359 alpha=117.05 beta=117.05 gamma=31.64
Element x y z (fractional)
Zn  0.000  0.000  0.000
Pt  0.369  0.369  0.530
Pt  0.616  0.616  0.468
Cl  0.243  0.243  0.988

## Properties
Uncorrected formation energy in eV/atom: 0.000
Relative energy among the computed polymorphs in eV/atom: 0.085
Symmetry: Cm, No. 8
Calculated total energy in eV per atom: -3.800

***

Record 20
A plane-wave DFT calculation with PBE was carried out for an optimized crystal structure of Ba5Sr2Cd2In.

Unit cell a=14.765 b=14.765 c=4.393 alpha=90.00 beta=90.00 gamma=90.00
Element x y z (fractional)
Ba  0.000  0.500  0.000
Ba  0.047  0.193  0.000
Ba  0.193  0.953  0.000
Ba  0.307  0.453  0.000
Ba  0.453  0.693  0.000
Ba  0.500  0.000  0.000
Ba  0.547  0.307  0.000
Ba  0.693  0.547  0.000
Ba  0.807  0.047  0.000
Ba  0.953  0.807  0.000
Sr  0.189  0.689  0.500
Sr  0.311  0.189  0.500
Sr  0.689  0.811  0.500
Sr  0.811  0.311  0.500
Cd  0.136  0.364  0.500
Cd  0.364  0.864  0.500
Cd  0.636  0.136  0.500
Cd  0.864  0.636  0.500
In  0.000  0.000  0.500
In  0.500  0.500  0.500

## Properties
Energy of formation from the pure elements in eV per atom: -0.20
Symmetry: P4/mbm, No. 127
Calculated total energy in eV per atom: -1.959